Entry 1:
Entry from the Alexandria database: crystalline Ca4SbH6 at its relaxed geometry (GGA-PBE).

Properties
* final energy: -3.35 eV per atom
* space-group type: P-6m2 (187)

a b c (Å): 7.7152 7.7152 3.4020
angles (deg): 90.00 90.00 120.00
Atoms (fractional coordinates):
Ca: 0.0000 0.0000 0.0000
Ca: 0.0384 0.5192 0.5000
Ca: 0.4808 0.5192 0.5000
Ca: 0.4808 0.9616 0.5000
Sb: 0.6667 0.3333 0.0000
H: 0.2185 0.4369 0.0000
H: 0.2185 0.7815 0.0000
H: 0.2438 0.1219 0.5000
H: 0.5631 0.7815 0.0000
H: 0.8781 0.1219 0.5000
H: 0.8781 0.7562 0.5000

=====

Entry 2:
Entry from the Alexandria database: crystalline Dy6InRu2 at its relaxed geometry (GGA-PBE).

Properties
* energy above the lowest structure with this stoichiometry: 121 meV per atom
* formation enthalpy at 0 K: -0.26 eV/atom
* space-group type: C2/m (12)

a b c (Å): 5.6333 5.6333 9.4034
angles (deg): 100.40 100.40 52.69
Atoms (fractional coordinates):
Dy: 0.0346 0.0346 0.3427
Dy: 0.2847 0.2847 0.6597
Dy: 0.3381 0.3381 0.1189
Dy: 0.6619 0.6619 0.8811
Dy: 0.7153 0.7153 0.3403
Dy: 0.9654 0.9654 0.6573
In: 0.0000 0.0000 0.0000
Ru: 0.3868 0.3868 0.4042
Ru: 0.6132 0.6132 0.5958

=====

Entry 3:
Entry from the Alexandria database: crystalline AlCr2Ru at its relaxed geometry (GGA-PBE).

Properties
* formation enthalpy at 0 K: 0.09 eV/atom
* space-group type: R3m (160)

a b c (Å): 8.6397 8.6397 8.6397
angles (deg): 17.78 17.78 17.78
Atoms (fractional coordinates):
Al: 0.0000 0.0000 0.0000
Cr: 0.4995 0.4995 0.4995
Cr: 0.7504 0.7504 0.7504
Ru: 0.2458 0.2458 0.2458

=====

Entry 4:
Entry from the Alexandria database: crystalline Tl16In12Sb at its relaxed geometry (GGA-PBE).

Properties
* final energy: -2.57 eV per atom
* space-group type: Cm (8)

a b c (Å): 10.4063 10.4063 10.3246
angles (deg): 108.82 108.82 110.66
Atoms (fractional coordinates):
Tl: 0.0000 0.0000 0.0000
Tl: 0.0000 0.3610 0.9967
Tl: 0.0027 0.0027 0.3537
Tl: 0.0030 0.6047 0.3198
Tl: 0.0046 0.3231 0.6027
Tl: 0.2884 0.6814 0.6814
Tl: 0.3218 0.6014 0.9986
Tl: 0.3231 0.0046 0.6027
Tl: 0.3610 0.0000 0.9967
Tl: 0.4038 0.7210 0.3996
Tl: 0.6014 0.3218 0.9986
Tl: 0.6047 0.0030 0.3198
Tl: 0.6424 0.6424 0.6429
Tl: 0.6814 0.2884 0.6814
Tl: 0.6877 0.6877 0.2864
Tl: 0.7210 0.4038 0.3996
In: 0.0025 0.6334 0.8118
In: 0.0077 0.8228 0.6343
In: 0.1815 0.3701 0.3662
In: 0.1904 0.8180 0.1878
In: 0.2024 0.2024 0.8218
In: 0.3701 0.1815 0.3662
In: 0.3755 0.3755 0.1849
In: 0.6334 0.0025 0.8118
In: 0.6337 0.8113 0.9981
In: 0.8113 0.6337 0.9981
In: 0.8180 0.1904 0.1878
In: 0.8228 0.0077 0.6343
Sb: 0.3889 0.3889 0.6897

=====

Entry 5:
Entry from the Alexandria database: crystalline Cd2CuAg at its relaxed geometry (GGA-PBE).

Properties
* formation enthalpy at 0 K: 0.03 eV/atom
* space-group type: Cmmm (65)

a b c (Å): 4.6684 4.6684 3.3177
angles (deg): 90.00 90.00 91.54
Atoms (fractional coordinates):
Cd: 0.0000 0.5000 0.0000
Cd: 0.5000 0.0000 0.0000
Cu: 0.0000 0.0000 0.5000
Ag: 0.5000 0.5000 0.5000

=====

Entry 6:
Entry from the Alexandria database: crystalline BeCu8Ge2 at its relaxed geometry (GGA-PBE).

Properties
* formation enthalpy at 0 K: 0.02 eV/atom
* space-group type: C2/m (12)

a b c (Å): 6.4150 6.4150 6.7130
angles (deg): 120.62 120.62 36.62
Atoms (fractional coordinates):
Be: 0.0000 0.0000 0.0000
Cu: 0.0689 0.0689 0.3986
Cu: 0.1762 0.1762 0.8866
Cu: 0.3130 0.3130 0.6885
Cu: 0.4502 0.4502 0.1276
Cu: 0.5498 0.5498 0.8724
Cu: 0.6870 0.6870 0.3115
Cu: 0.8238 0.8238 0.1134
Cu: 0.9311 0.9311 0.6014
Ge: 0.3258 0.3258 0.3346
Ge: 0.6742 0.6742 0.6654

=====

Entry 7:
Entry from the Alexandria database: crystalline Pr3ErPu2S6 at its relaxed geometry (GGA-PBE).

Properties
* final energy: -7.97 eV per atom
* space-group type: C2/m (12)

a b c (Å): 6.9278 6.9278 7.0034
angles (deg): 99.48 99.48 120.01
Atoms (fractional coordinates):
Pr: 0.0000 0.0000 0.0000
Pr: 0.3320 0.6680 0.0000
Pr: 0.6680 0.3320 0.0000
Er: 0.5000 0.5000 0.5000
Pu: 0.1665 0.8335 0.5000
Pu: 0.8335 0.1665 0.5000
S: 0.0924 0.4222 0.2666
S: 0.2488 0.2488 0.7356
S: 0.4222 0.0924 0.2666
S: 0.5778 0.9076 0.7334
S: 0.7512 0.7512 0.2644
S: 0.9076 0.5778 0.7334

=====

Entry 8:
Entry from the Alexandria database: crystalline BeCd2Te at its relaxed geometry (GGA-PBE).

Properties
* energy above the lowest structure with this stoichiometry: 60 meV per atom
* space-group type: Immm (71)

a b c (Å): 7.1443 7.1443 7.1443
angles (deg): 150.48 149.64 42.86
Atoms (fractional coordinates):
Be: 0.0000 0.0000 0.0000
Cd: 0.1936 0.6936 0.5000
Cd: 0.8064 0.3064 0.5000
Te: 0.5000 0.5000 0.0000

=====

Entry 9:
Entry from the Alexandria database: crystalline PmSm8Tm6 at its relaxed geometry (GGA-PBE).

Properties
* energy above the lowest structure with this stoichiometry: 88 meV per atom
* formation enthalpy at 0 K: 0.22 eV/atom
* space-group type: P-3 (147)

a b c (Å): 9.3631 9.3631 6.6147
angles (deg): 90.00 90.00 120.00
Atoms (fractional coordinates):
Pm: 0.0000 0.0000 0.0000
Sm: 0.0097 0.3194 0.6145
Sm: 0.3098 0.9903 0.6145
Sm: 0.3194 0.3098 0.3855
Sm: 0.3333 0.6667 0.3317
Sm: 0.6667 0.3333 0.6683
Sm: 0.6806 0.6902 0.6145
Sm: 0.6902 0.0097 0.3855
Sm: 0.9903 0.6806 0.3855
Tm: 0.0846 0.6756 0.8921
Tm: 0.3244 0.4090 0.8921
Tm: 0.4090 0.0846 0.1079
Tm: 0.5910 0.9154 0.8921
Tm: 0.6756 0.5910 0.1079
Tm: 0.9154 0.3244 0.1079

=====

Entry 10:
Entry from the Alexandria database: crystalline LiCaLaRu at its relaxed geometry (GGA-PBE).

Properties
* formation enthalpy at 0 K: 0.00 eV/atom
* space-group type: F-43m (216)

a b c (Å): 5.0818 5.0818 5.0818
angles (deg): 60.00 60.00 60.00
Atoms (fractional coordinates):
Li: 0.0000 0.0000 0.0000
Ca: 0.7500 0.7500 0.7500
La: 0.2500 0.2500 0.2500
Ru: 0.5000 0.5000 0.5000

=====

Entry 11:
Entry from the Alexandria database: crystalline KInW2 at its relaxed geometry (GGA-PBE).

Properties
* formation enthalpy at 0 K: 1.43 eV/atom
* space-group type: I-4m2 (119)

a b c (Å): 4.8349 4.8349 4.8349
angles (deg): 120.10 120.10 89.83
Atoms (fractional coordinates):
K: 0.0000 0.0000 0.0000
In: 0.7500 0.2500 0.5000
W: 0.2500 0.7500 0.5000
W: 0.5000 0.5000 0.0000

=====

Entry 12:
Entry from the Alexandria database: crystalline Na3In8Sn2 at its relaxed geometry (GGA-PBE).

Properties
* formation enthalpy at 0 K: 0.01 eV/atom
* space-group type: R-3m (166)

a b c (Å): 12.3875 12.3875 12.3875
angles (deg): 28.61 28.61 28.61
Atoms (fractional coordinates):
Na: 0.0000 0.0000 0.0000
Na: 0.1843 0.1843 0.1843
Na: 0.8157 0.8157 0.8157
In: 0.2289 0.7319 0.7319
In: 0.2681 0.2681 0.7711
In: 0.2681 0.7711 0.2681
In: 0.2787 0.2787 0.2787
In: 0.7213 0.7213 0.7213
In: 0.7319 0.2289 0.7319
In: 0.7319 0.7319 0.2289
In: 0.7711 0.2681 0.2681
Sn: 0.3619 0.3619 0.3619
Sn: 0.6381 0.6381 0.6381